[1]
Compound: Sr4Ag3Sn
Source: the Alexandria database
Functional: PBE-GGA
Structure: optimized geometry

Unit cell a=4.5154 b=4.8657 c=12.0455 alpha=90.00 beta=90.00 gamma=90.00
With the nearest neighbours (Å) after each atom.
Element x y z (fractional)
1 Sr 0.5000 0.0000 0.6403  7 Ag 3.37-3.47
2 Sr 0.0000 0.0000 0.1400  3 Ag 3.40-3.52, 4 Sn 3.42
3 Sr 0.0000 0.5000 0.8575  5 Ag 3.43-3.48, 2 Sn 3.44
4 Sr 0.5000 0.5000 0.3599  6 Ag 3.38-3.43, 1 Sn 3.46
5 Sn 0.5000 0.5000 0.0727  2 Ag 2.99
6 Ag 0.5000 0.0000 0.9287  2 Sn 2.99
7 Ag 0.0000 0.0000 0.4322  2 Ag 2.94
8 Ag 0.0000 0.5000 0.5686  2 Ag 2.94

Values from the calculation:
E_form ... -380 meV per atom
Spin magnetization ... 0.000 μB/atom
Volume ... 33.1 Å³/atom

[2]
Compound: HfNi2MoRu
Source: the Alexandria database
Functional: PBE-GGA
Structure: optimized geometry

Unit cell a=4.4936 b=4.6771 c=4.4936 alpha=90.00 beta=90.00 gamma=90.00
With the nearest neighbours (Å) after each atom.
Element x y z (fractional)
1 Ru 0.0000 0.5000 0.0000  2 Hf 2.34
2 Ni 0.5000 0.0000 0.0000  2 Hf 2.25
3 Ni 0.0000 0.0000 0.5000  2 Hf 2.25
4 Mo 0.5000 0.5000 0.5000  4 Ru 3.18, 8 Ni 3.24
5 Hf 0.0000 0.0000 0.0000  4 Ni 2.25, 2 Ru 2.34

Values from the calculation:
E_form ... 1481 meV per atom
Spin magnetization ... 0.729 μB/atom
Volume ... 18.9 Å³/atom

[3]
Compound: Th6SbTe3Se2
Source: the Alexandria database
Functional: PBE-GGA
Structure: optimized geometry

Unit cell a=7.5945 b=7.5945 c=7.6511 alpha=99.52 beta=99.52 gamma=120.45
With the nearest neighbours (Å) after each atom.
Element x y z (fractional)
1 Te 0.5000 0.5000 0.5000  6 Th 3.12-3.21
2 Te 0.8460 0.1540 0.5000  6 Th 3.19-3.24
3 Te 0.1540 0.8460 0.5000  6 Th 3.19-3.24
4 Th 0.9188 0.5712 0.7649  2 Se 2.96-2.98, 1 Sb 3.14, 3 Te 3.19-3.24
5 Th 0.0812 0.4288 0.2351  2 Se 2.96-2.98, 1 Sb 3.14, 3 Te 3.19-3.24
6 Th 0.5712 0.9188 0.7649  2 Se 2.96-2.98, 1 Sb 3.14, 3 Te 3.19-3.24
7 Th 0.4288 0.0812 0.2351  2 Se 2.96-2.98, 1 Sb 3.14, 3 Te 3.19-3.24
8 Th 0.7181 0.7181 0.2173  2 Se 2.96, 1 Sb 3.10, 3 Te 3.12-3.20
9 Th 0.2819 0.2819 0.7827  2 Se 2.96, 1 Sb 3.10, 3 Te 3.12-3.20
10 Se 0.3281 0.6719 0.0000  6 Th 2.96-2.98
11 Se 0.6719 0.3281 0.0000  6 Th 2.96-2.98
12 Sb 0.0000 0.0000 0.0000  6 Th 3.10-3.14

Values from the calculation:
Formation energy from raw total energies ... -1.175 eV/atom
Spin magnetization ... 0.000 μB/atom
Volume ... 29.9 Å³/atom

[4]
Compound: ErSi2S4
Source: the Alexandria database
Functional: PBE-GGA
Structure: optimized geometry

Unit cell a=5.9791 b=5.9791 c=5.9791 alpha=106.65 beta=106.65 gamma=115.28
With the nearest neighbours (Å) after each atom.
Element x y z (fractional)
1 S 0.6741 0.8320 0.5061  2 Si 2.36
2 S 0.3259 0.1680 0.4939  2 Si 2.36
3 S 0.1680 0.6741 0.8421  2 Si 2.36
4 S 0.8320 0.3259 0.1579  2 Si 2.36
5 Er 0.5000 0.5000 0.0000  4 S 2.68
6 Si 0.2500 0.7500 0.5000  4 S 2.36
7 Si 0.7500 0.2500 0.5000  4 S 2.36

Values from the calculation:
Formation energy from raw total energies ... -0.425 eV/atom
Spin magnetization ... 0.000 μB/atom
Volume ... 23.3 Å³/atom

[5]
Compound: CaLa2Er
Source: the Alexandria database
Functional: PBE-GGA
Structure: optimized geometry

Unit cell a=3.6998 b=3.6998 c=10.6829 alpha=89.99 beta=89.99 gamma=89.97
With the nearest neighbours (Å) after each atom.
Element x y z (fractional)
1 Ca 0.0000 0.0000 0.5000  4 Ca 3.70, 8 La 3.88
2 La 0.5004 0.5004 0.2320  4 Er 3.60-3.61, 4 La 3.70, 4 Ca 3.88
3 La 0.4996 0.4996 0.7680  4 Er 3.60-3.61, 4 La 3.70, 4 Ca 3.88
4 Er 0.0000 0.0000 0.0000  8 La 3.60-3.61, 4 Er 3.70

Values from the calculation:
E_form ... 50 meV per atom
Spin magnetization ... 0.000 μB/atom
E above lowest polymorph ... 0.0179 eV per atom
Volume ... 36.6 Å³/atom

[6]
Compound: AcCe6Tl6
Source: the Alexandria database
Functional: PBE-GGA
Structure: optimized geometry

Unit cell a=6.6103 b=6.6103 c=11.1249 alpha=90.00 beta=90.00 gamma=125.01
With the nearest neighbours (Å) after each atom.
Element x y z (fractional)
1 Ce 0.0000 0.5000 0.2603  4 Ce 3.05-3.33, 6 Tl 3.36-3.42
2 Ce 0.5000 0.5000 0.7770  6 Tl 3.30-3.45, 4 Ce 3.33
3 Ce 0.5000 0.0000 0.2603  4 Ce 3.05-3.33, 6 Tl 3.36-3.42
4 Ce 0.0000 0.5000 0.7397  4 Ce 3.05-3.33, 6 Tl 3.36-3.42
5 Ce 0.5000 0.5000 0.2230  6 Tl 3.30-3.45, 4 Ce 3.33
6 Ce 0.5000 0.0000 0.7397  4 Ce 3.05-3.33, 6 Tl 3.36-3.42
7 Tl 0.3144 0.6856 0.0000  6 Ce 3.30-3.36, 2 Tl 3.41, 1 Ac 3.69
8 Tl 0.0000 0.0000 0.6617  6 Ce 3.31-3.42, 1 Tl 3.60
9 Tl 0.3669 0.6331 0.5000  1 Tl 3.12, 6 Ce 3.36-3.45
10 Tl 0.6856 0.3144 0.0000  6 Ce 3.30-3.36, 2 Tl 3.41, 1 Ac 3.69
11 Tl 0.0000 0.0000 0.3383  6 Ce 3.31-3.42, 1 Tl 3.60
12 Tl 0.6331 0.3669 0.5000  1 Tl 3.12, 6 Ce 3.36-3.45
13 Ac 0.0000 0.0000 0.0000  8 Tl 3.69-3.76, 4 Ce 3.93

Values from the calculation:
E_form ... -64 meV per atom
Spin magnetization ... 0.557 μB/atom
Volume ... 30.6 Å³/atom

[7]
Compound: ErSi2Tc2B
Source: the Alexandria database
Functional: PBE-GGA
Structure: optimized geometry

Unit cell a=4.2082 b=4.2082 c=5.1687 alpha=90.00 beta=90.00 gamma=90.00
With the nearest neighbours (Å) after each atom.
Element x y z (fractional)
1 Si 0.5000 0.5000 0.7311  1 Si 2.39, 4 Tc 2.52
2 Si 0.5000 0.5000 0.2689  1 Si 2.39, 4 Tc 2.52
3 Er 0.0000 0.0000 0.5000  2 B 2.58
4 B 0.0000 0.0000 0.0000  4 Tc 2.10
5 Tc 0.5000 0.0000 0.0000  2 B 2.10
6 Tc 0.0000 0.5000 0.0000  2 B 2.10

Values from the calculation:
Formation energy from raw total energies ... -0.617 eV/atom
Spin magnetization ... 0.000 μB/atom
Volume ... 15.3 Å³/atom

[8]
Compound: CsDyPb2I8
Source: the Alexandria database
Functional: PBE-GGA
Structure: optimized geometry

Unit cell a=7.8343 b=7.7103 c=10.3702 alpha=79.12 beta=83.62 gamma=84.12
With the nearest neighbours (Å) after each atom.
Element x y z (fractional)
1 Pb 0.5164 0.5451 0.2587  5 I 3.06-3.34
2 Pb 0.4836 0.4549 0.7413  5 I 3.06-3.34
3 I 0.6955 0.7832 0.0002  1 Dy 3.05, 1 Pb 3.22
4 I 0.3956 0.2595 0.5293  2 Pb 3.06-3.34
5 I 0.6044 0.7405 0.4707  2 Pb 3.06-3.34
6 I 0.3045 0.2168 0.9998  1 Dy 3.05, 1 Pb 3.22
7 I 0.2027 0.7890 0.8080  1 Dy 3.02, 1 Pb 3.34
8 I 0.8702 0.2797 0.7706  1 Dy 3.08, 1 Pb 3.21
9 I 0.7973 0.2110 0.1920  1 Dy 3.02, 1 Pb 3.34
10 I 0.1298 0.7203 0.2294  1 Dy 3.08, 1 Pb 3.21
11 Cs 0.0000 0.0000 0.5000  6 I 3.74-3.93
12 Dy 0.0000 0.0000 0.0000  6 I 3.02-3.08

Values from the calculation:
Formation energy from raw total energies ... -0.990 eV/atom
Spin magnetization ... 0.000 μB/atom
Volume ... 50.8 Å³/atom

[9]
Compound: La3IrPb
Source: the Alexandria database
Functional: PBE-GGA
Structure: optimized geometry

Unit cell a=5.4817 b=5.4817 c=11.3790 alpha=90.00 beta=90.00 gamma=120.00
With the nearest neighbours (Å) after each atom.
Element x y z (fractional)
1 La 0.3333 0.6667 0.0571  3 Ir 3.23, 3 La 3.42, 1 Pb 3.49
2 La 0.0000 0.0000 0.2500  2 Ir 2.84, 3 Pb 3.16
3 La 0.0000 0.0000 0.7500  2 Ir 2.84, 3 Pb 3.16
4 La 0.6667 0.3333 0.9429  3 Ir 3.23, 3 La 3.42, 1 Pb 3.49
5 La 0.3333 0.6667 0.4429  3 Ir 3.23, 3 La 3.42, 1 Pb 3.49
6 La 0.6667 0.3333 0.5571  3 Ir 3.23, 3 La 3.42, 1 Pb 3.49
7 Ir 0.0000 0.0000 0.0000  2 La 2.84
8 Ir 0.0000 0.0000 0.5000  2 La 2.84
9 Pb 0.6667 0.3333 0.2500  5 La 3.16-3.49
10 Pb 0.3333 0.6667 0.7500  5 La 3.16-3.49

Values from the calculation:
E_form ... -542 meV per atom
Spin magnetization ... 0.000 μB/atom
E above lowest polymorph ... 0.1454 eV per atom
Volume ... 29.6 Å³/atom

[10]
Compound: Pa4FeCS2
Source: the Alexandria database
Functional: PBE-GGA
Structure: optimized geometry

Unit cell a=3.7185 b=6.7722 c=6.5360 alpha=72.64 beta=90.00 gamma=90.00
With the nearest neighbours (Å) after each atom.
Element x y z (fractional)
1 Pa 0.5000 0.2806 0.7335  2 C 2.58, 1 Fe 2.60, 3 S 2.77-2.85
2 Pa 0.0000 0.2741 0.2530  1 C 2.53, 2 Fe 2.65, 3 S 2.78-2.83
3 Pa 0.0000 0.7259 0.7470  1 C 2.53, 2 Fe 2.65, 3 S 2.78-2.83
4 Pa 0.5000 0.7194 0.2665  2 C 2.58, 1 Fe 2.60, 3 S 2.77-2.85
5 S 0.5000 0.0000 0.5000  6 Pa 2.77-2.78
6 S 0.0000 0.0000 0.0000  6 Pa 2.83-2.85
7 Fe 0.5000 0.5000 0.0000  6 Pa 2.60-2.65
8 C 0.0000 0.5000 0.5000  6 Pa 2.53-2.58

Values from the calculation:
Formation energy from raw total energies ... -0.909 eV/atom
Spin magnetization ... 0.000 μB/atom
Volume ... 19.6 Å³/atom

[11]
Compound: MgAsP2Cl
Source: the Alexandria database
Functional: PBE-GGA
Structure: optimized geometry

Unit cell a=4.9658 b=4.9658 c=4.5257 alpha=90.00 beta=90.00 gamma=90.00
With the nearest neighbours (Å) after each atom.
Element x y z (fractional)
1 P 0.0000 0.5000 0.0000  2 Mg 2.48
2 P 0.5000 0.0000 0.0000  2 Mg 2.48
3 Cl 0.0000 0.0000 0.5000  2 Mg 2.26
4 Mg 0.0000 0.0000 0.0000  2 Cl 2.26, 4 P 2.48
5 As 0.5000 0.5000 0.5000  8 P 3.36, 4 Cl 3.51

Values from the calculation:
Formation energy from raw total energies ... 0.608 eV/atom
Spin magnetization ... 0.000 μB/atom
E above lowest polymorph ... 0.1952 eV per atom
Volume ... 22.3 Å³/atom

[12]
Compound: TbTm4S7
Source: the Alexandria database
Functional: PBE-GGA
Structure: optimized geometry

Unit cell a=3.7641 b=6.6348 c=11.5189 alpha=103.79 beta=90.00 gamma=106.48
With the nearest neighbours (Å) after each atom.
Element x y z (fractional)
1 S 0.9579 0.9158 0.2147  4 Tm 2.65-2.71
2 S 0.7395 0.4790 0.3503  4 Tm 2.73-2.90, 1 Tb 2.84
3 S 0.2552 0.5103 0.6482  2 Tb 2.78, 3 Tm 2.80-2.89
4 S 0.5016 0.0031 0.4972  2 Tm 2.63, 2 Tb 2.68
5 S 0.3421 0.6841 0.9496  5 Tm 2.71-2.91
6 S 0.0434 0.0867 0.7881  3 Tm 2.64-2.71, 1 Tb 2.71
7 S 0.6592 0.3185 0.0511  5 Tm 2.71-2.91
8 Tm 0.2999 0.5999 0.1863  7 S 2.71-2.91
9 Tm 0.7006 0.4012 0.8141  7 S 2.71-2.91
10 Tm 0.1119 0.2239 0.4200  6 S 2.63-2.80
11 Tm 0.0006 0.0012 0.0012  6 S 2.64-2.71
12 Tb 0.8881 0.7763 0.5792  6 S 2.68-2.84

Values from the calculation:
Formation energy from raw total energies ... -2.055 eV/atom
Spin magnetization ... 0.000 μB/atom
Volume ... 22.3 Å³/atom